# MgSc2Fe, PBEsol geometry, DFT meta-GGA SCAN
# Magnetic moment ... 0.00 μB per formula unit
# E_form ... 202 meV per atom
data_MgSc2Fe
_chemical_formula_sum 'Mg2 Sc4 Fe2'
_space_group_name_H-M_alt 'A m m 2'
_space_group_IT_number 38
_space_group_name_Hall 'A 2 -2'
_cell_length_a 3.1935
_cell_length_b 3.9354
_cell_length_c 12.8973
_cell_angle_alpha 90.00
_cell_angle_beta 90.00
_cell_angle_gamma 90.00
loop_
_atom_site_label
_atom_site_type_symbol
_atom_site_fract_x
_atom_site_fract_y
_atom_site_fract_z
Mg1 Mg 0.0000 0.0000 0.0000
Sc1 Sc 0.0000 0.0000 0.6901
Sc2 Sc 0.5000 0.0000 0.3454
Fe1 Fe 0.5000 0.0000 0.1674

# NiRh2, PBEsol geometry, DFT meta-GGA SCAN
# Magnetic moment ... 1.87 μB per formula unit
# E_form ... 45 meV per atom
# ΔE to the lowest computed polymorph ... 7 meV per atom
data_NiRh2
_chemical_formula_sum 'Ni2 Rh4'
_space_group_name_H-M_alt 'P 1 2/m 1'
_space_group_IT_number 10
_space_group_name_Hall '-P 2y'
_cell_length_a 4.4939
_cell_length_b 2.6391
_cell_length_c 6.3688
_cell_angle_alpha 90.00
_cell_angle_beta 91.16
_cell_angle_gamma 90.00
loop_
_atom_site_label
_atom_site_type_symbol
_atom_site_fract_x
_atom_site_fract_y
_atom_site_fract_z
Ni1 Ni 0.1664 0.0000 0.3322
Rh1 Rh 0.0000 0.5000 0.0000
Rh2 Rh 0.3289 0.5000 0.6601
Rh3 Rh 0.5000 0.0000 0.0000

# Y2Au, PBEsol geometry, DFT meta-GGA SCAN
# Magnetic moment ... 0.00 μB per formula unit
# E_form ... -902 meV per atom
data_Y2Au
_chemical_formula_sum 'Y8 Au4'
_space_group_name_H-M_alt 'P n m a'
_space_group_IT_number 62
_space_group_name_Hall '-P 2ac 2n'
_cell_length_a 7.0060
_cell_length_b 4.8994
_cell_length_c 8.8354
_cell_angle_alpha 90.00
_cell_angle_beta 90.00
_cell_angle_gamma 90.00
loop_
_atom_site_label
_atom_site_type_symbol
_atom_site_fract_x
_atom_site_fract_y
_atom_site_fract_z
Y1 Y 0.0117 0.2500 0.1765
Y2 Y 0.1504 0.2500 0.5822
Au1 Au 0.2421 0.2500 0.9025

# CoRu, PBEsol geometry, DFT meta-GGA SCAN
# Magnetic moment ... 1.26 μB per formula unit
# E_form ... 185 meV per atom
data_CoRu
_chemical_formula_sum 'Co4 Ru4'
_space_group_name_H-M_alt 'P n m a'
_space_group_IT_number 62
_space_group_name_Hall '-P 2ac 2n'
_cell_length_a 4.4927
_cell_length_b 4.0702
_cell_length_c 5.0976
_cell_angle_alpha 90.00
_cell_angle_beta 90.00
_cell_angle_gamma 90.00
loop_
_atom_site_label
_atom_site_type_symbol
_atom_site_fract_x
_atom_site_fract_y
_atom_site_fract_z
Co1 Co 0.0822 0.2500 0.1214
Ru1 Ru 0.0898 0.2500 0.6265

# YRe2, PBEsol geometry, DFT meta-GGA SCAN
# Magnetic moment ... 0.00 μB per formula unit
# E_form ... -306 meV per atom
data_YRe2
_chemical_formula_sum 'Y4 Re8'
_space_group_name_H-M_alt 'P 63/m m c'
_space_group_IT_number 194
_space_group_name_Hall '-P 6c 2c'
_cell_length_a 5.3668
_cell_length_b 5.3668
_cell_length_c 8.7323
_cell_angle_alpha 90.00
_cell_angle_beta 90.00
_cell_angle_gamma 120.00
loop_
_atom_site_label
_atom_site_type_symbol
_atom_site_fract_x
_atom_site_fract_y
_atom_site_fract_z
Y1 Y 0.3333 0.6667 0.0624
Re1 Re 0.0000 0.0000 0.0000
Re2 Re 0.1707 0.3413 0.7500

# Re7Rh, PBEsol geometry, DFT meta-GGA SCAN
# Magnetic moment ... 0.00 μB per formula unit
# E_form ... -8 meV per atom
data_Re7Rh
_chemical_formula_sum 'Re28 Rh4'
_space_group_name_H-M_alt 'F m -3 m'
_space_group_IT_number 225
_space_group_name_Hall '-F 4 2 3'
_cell_length_a 7.7332
_cell_length_b 7.7332
_cell_length_c 7.7332
_cell_angle_alpha 90.00
_cell_angle_beta 90.00
_cell_angle_gamma 90.00
loop_
_atom_site_label
_atom_site_type_symbol
_atom_site_fract_x
_atom_site_fract_y
_atom_site_fract_z
Re1 Re 0.0000 0.0000 0.0000
Re2 Re 0.0000 0.2500 0.2500
Rh1 Rh 0.0000 0.0000 0.5000

# Sr5In2Sb6, PBEsol geometry, DFT meta-GGA SCAN
# Formation energy without anion corrections ... -0.913 eV/atom
# Magnetic moment ... 0.00 μB per formula unit
data_Sr5In2Sb6
_chemical_formula_sum 'Sr10 In4 Sb12'
_space_group_name_H-M_alt 'P b a m'
_space_group_IT_number 55
_space_group_name_Hall '-P 2 2ab'
_cell_length_a 12.5920
_cell_length_b 14.6616
_cell_length_c 4.6552
_cell_angle_alpha 90.00
_cell_angle_beta 90.00
_cell_angle_gamma 90.00
loop_
_atom_site_label
_atom_site_type_symbol
_atom_site_fract_x
_atom_site_fract_y
_atom_site_fract_z
Sr1 Sr 0.0000 0.0000 0.0000
Sr2 Sr 0.0877 0.2494 0.0000
Sr3 Sr 0.1723 0.5192 0.0000
In1 In 0.1690 0.7139 0.5000
Sb1 Sb 0.0261 0.4046 0.5000
Sb2 Sb 0.1531 0.0937 0.5000
Sb3 Sb 0.1646 0.8262 0.0000

# Sr2GaNi2, PBEsol geometry, DFT meta-GGA SCAN
# Magnetic moment ... 1.35 μB per formula unit
# E_form ... 76 meV per atom
data_Sr2GaNi2
_chemical_formula_sum 'Sr4 Ga2 Ni4'
_space_group_name_H-M_alt 'I 4/m m m'
_space_group_IT_number 139
_space_group_name_Hall '-I 4 2'
_cell_length_a 3.4006
_cell_length_b 3.4006
_cell_length_c 19.0140
_cell_angle_alpha 90.00
_cell_angle_beta 90.00
_cell_angle_gamma 90.00
loop_
_atom_site_label
_atom_site_type_symbol
_atom_site_fract_x
_atom_site_fract_y
_atom_site_fract_z
Sr1 Sr 0.0000 0.0000 0.1190
Ga1 Ga 0.0000 0.0000 0.5000
Ni1 Ni 0.0000 0.5000 0.2500

- Look up the magnetic moment of the fourth one.
  1.26 μB per formula unit

- Look up the magnetic moment of the fourth one.
  1.26 μB per formula unit

Please write out number 3 again, unchanged.
# Y2Au, PBEsol geometry, DFT meta-GGA SCAN
# Magnetic moment ... 0.00 μB per formula unit
# E_form ... -902 meV per atom
data_Y2Au
_chemical_formula_sum 'Y8 Au4'
_space_group_name_H-M_alt 'P n m a'
_space_group_IT_number 62
_space_group_name_Hall '-P 2ac 2n'
_cell_length_a 7.0060
_cell_length_b 4.8994
_cell_length_c 8.8354
_cell_angle_alpha 90.00
_cell_angle_beta 90.00
_cell_angle_gamma 90.00
loop_
_atom_site_label
_atom_site_type_symbol
_atom_site_fract_x
_atom_site_fract_y
_atom_site_fract_z
Y1 Y 0.0117 0.2500 0.1765
Y2 Y 0.1504 0.2500 0.5822
Au1 Au 0.2421 0.2500 0.9025